The following is a DFT calculation (PBE-GGA) of an optimized crystal structure of LaInP2.

The calculation puts the energy of formation from the pure elements at -0.66 eV/atom.

The structure belongs to space group Cm (No. 8); the cell edges are 11.8081, 3.9476 and 4.1995 Å and the angles 90.00°, 91.05° and 90.00°. The asymmetric unit holds La at (0.0000, 0.0000, 0.0000), In at (0.2493, 0.5000, 0.4775), P at (0.0356, 0.5000, 0.5006) and P at (0.2930, 0.0000, 0.0036).

The following is a DFT calculation (PBE-GGA) of an optimized crystal structure of La3InP.

The relative energy among the computed polymorphs is 0 meV/atom. The calculation puts the energy of formation from the pure elements at -0.78 eV/atom.

The structure belongs to space group P2_1/m (No. 11); the cell edges are 8.7260, 4.2660 and 9.1534 Å and the angles 90.00°, 98.26° and 90.00°. The asymmetric unit holds La at (0.0643, 0.2500, 0.3215), La at (0.2962, 0.2500, 0.9439), La at (0.3768, 0.7500, 0.6106), In at (0.3510, 0.7500, 0.2254) and P at (0.1556, 0.2500, 0.6390).

The following is a DFT calculation (PBE-GGA) of an optimized crystal structure of LaIn3P.

The relative energy among the computed polymorphs is 1045 meV/atom. The calculation puts the energy of formation from the pure elements at 1.13 eV/atom.

The structure belongs to space group Pm-3m (No. 221); the cell edges are 6.0668, 6.0668 and 6.0668 Å and the angles 90.00°, 90.00° and 90.00°. The asymmetric unit holds La at (0.0000, 0.0000, 0.0000), In at (0.0000, 0.0000, 0.5000) and P at (0.5000, 0.5000, 0.5000).

The following is a DFT calculation (PBE-GGA) of an optimized crystal structure of LaInP2.

The calculation puts the energy of formation from the pure elements at -0.59 eV/atom.

The structure belongs to space group P4/mmm (No. 123); the cell edges are 4.7892, 4.7892 and 3.8048 Å and the angles 90.00°, 90.00° and 90.00°. The asymmetric unit holds La at (0.0000, 0.0000, 0.0000), In at (0.5000, 0.5000, 0.0000) and P at (0.0000, 0.5000, 0.5000).

The following is a DFT calculation (PBE-GGA) of an optimized crystal structure of La4InP.

The calculation puts the energy of formation from the pure elements at 0.16 eV/atom.

The structure belongs to space group F-43m (No. 216); the cell edges are 8.9972, 8.9972 and 8.9972 Å and the angles 90.00°, 90.00° and 90.00°. The asymmetric unit holds La at (0.1252, 0.1252, 0.1252), In at (0.0000, 0.0000, 0.5000) and P at (0.2500, 0.2500, 0.7500).

The following is a DFT calculation (PBE-GGA) of an optimized crystal structure of La2InPPd6.

The calculation puts the energy of formation from the pure elements at -0.75 eV/atom.

The structure belongs to space group Pmmn (No. 59, origin choice 2); the cell edges are 5.6505, 8.8377 and 8.4435 Å and the angles 90.00°, 90.00° and 90.00°. The asymmetric unit holds La at (0.2500, 0.9996, 0.2374), In at (0.2500, 0.2500, 0.7923), P at (0.2500, 0.7500, 0.7192), Pd at (0.0012, 0.2500, 0.5124), Pd at (0.0069, 0.7500, 0.9470) and Pd at (0.2500, 0.5032, 0.6046).

The following is a DFT calculation (PBE-GGA) of an optimized crystal structure of La2InP3Pd4.

The calculation puts the energy of formation from the pure elements at -0.90 eV/atom.

The structure belongs to space group P-4m2 (No. 115); the cell edges are 4.1981, 4.1981 and 10.8938 Å and the angles 90.00°, 90.00° and 90.00°. The asymmetric unit holds La at (0.0000, 0.5000, 0.2293), In at (0.0000, 0.0000, 0.5000), P at (0.0000, 0.5000, 0.8712), P at (0.5000, 0.5000, 0.5000), Pd at (0.0000, 0.0000, 0.0000), Pd at (0.0000, 0.5000, 0.6535) and Pd at (0.5000, 0.5000, 0.0000).

The following is a DFT calculation (PBE-GGA) of an optimized crystal structure of La2InPPt6.

The calculation puts the energy of formation from the pure elements at -0.89 eV/atom.

The structure belongs to space group Pmmn (No. 59, origin choice 2); the cell edges are 5.6461, 8.7186 and 8.5751 Å and the angles 90.00°, 90.00° and 90.00°. The asymmetric unit holds La at (0.2500, 0.0025, 0.2323), In at (0.2500, 0.7500, 0.7941), P at (0.2500, 0.2500, 0.7251), Pt at (0.0020, 0.7500, 0.5135), Pt at (0.0068, 0.2500, 0.9478) and Pt at (0.2500, 0.0046, 0.6051).